No. 1
First-principles (PBE) data for crystalline BC2 at its relaxed geometry, as listed in Alexandria.

a = 4.6263 Å, b = 2.5718 Å, c = 6.4559 Å
α = 90.00°, β = 91.32°, γ = 90.00°
Last column: nearest neighbours and their distance in Å.
Element x y z (fractional)
1 B 0.0000 0.0000 0.0000  4 C 1.64-1.78
2 B 0.1620 0.5000 0.4096  4 C 1.62-1.70
3 B 0.4864 0.5000 0.7485  4 C 1.61-1.66
4 B 0.6606 0.0000 0.4146  4 C 1.61-1.65
5 C 0.1517 0.5000 0.6720  2 C 1.53, 2 B 1.61-1.70
6 C 0.3275 0.0000 0.3163  1 C 1.52, 3 B 1.62-1.65
7 C 0.3388 0.0000 0.0814  3 C 1.52-1.56, 1 B 1.64
8 C 0.4935 0.5000 0.0048  3 C 1.55-1.56, 1 B 1.65
9 C 0.6771 0.0000 0.6645  1 C 1.49, 3 B 1.61-1.66
10 C 0.8112 0.5000 0.0851  2 C 1.47-1.55
11 C 0.8291 0.5000 0.3128  1 C 1.47
12 C 0.9903 0.0000 0.7237  3 C 1.49-1.53

Output
**Theoretical density**: 3.01 g cm⁻³
**ΔH_f (0 K)**: 97 kJ/mol of formula units



No. 2
First-principles (PBE) data for crystalline Ta2InSi at its relaxed geometry, as listed in Alexandria.

a = 9.4637 Å, b = 9.4637 Å, c = 9.4637 Å
α = 18.19°, β = 18.19°, γ = 18.19°
Last column: nearest neighbours and their distance in Å.
Element x y z (fractional)
1 Ta 0.2436 0.2436 0.2436  3 Si 2.76, 6 Ta 2.99, 3 In 3.04
2 Ta 0.7564 0.7564 0.7564  3 Si 2.76, 6 Ta 2.99, 3 In 3.04
3 In 0.0000 0.0000 0.0000  6 In 2.99, 6 Ta 3.04
4 Si 0.5000 0.5000 0.5000  6 Ta 2.76, 6 Si 2.99

Output
**Theoretical density**: 11.62 g cm⁻³
**E_form (uncorrected)**: 51 kJ/mol of formula units



No. 3
First-principles (PBE) data for crystalline Pm6Pr8Y at its relaxed geometry, as listed in Alexandria.

a = 8.4934 Å, b = 8.4934 Å, c = 8.4934 Å
α = 71.03°, β = 71.03°, γ = 71.03°
Last column: nearest neighbours and their distance in Å.
Element x y z (fractional)
1 Pm 0.0917 0.7782 0.5916  2 Pr 3.13-3.47
2 Pm 0.2218 0.4084 0.9083  2 Pr 3.13-3.47
3 Pm 0.4084 0.9083 0.2218  2 Pr 3.13-3.47
4 Pm 0.5916 0.0917 0.7782  2 Pr 3.13-3.47
5 Pm 0.7782 0.5916 0.0917  2 Pr 3.13-3.47
6 Pm 0.9083 0.2218 0.4084  2 Pr 3.13-3.47
7 Pr 0.0797 0.0797 0.0797  1 Pr 3.01, 3 Pm 3.13
8 Pr 0.1441 0.5774 0.2745  4 Pm 3.47-3.85, 5 Pr 3.66-3.89, 1 Y 3.86
9 Pr 0.2745 0.1441 0.5775  4 Pm 3.47-3.85, 5 Pr 3.66-3.89, 1 Y 3.86
10 Pr 0.4225 0.7255 0.8559  4 Pm 3.47-3.85, 5 Pr 3.66-3.89, 1 Y 3.86
11 Pr 0.5775 0.2745 0.1441  4 Pm 3.47-3.85, 5 Pr 3.66-3.89, 1 Y 3.86
12 Pr 0.7255 0.8559 0.4225  4 Pm 3.47-3.85, 5 Pr 3.66-3.89, 1 Y 3.86
13 Pr 0.8559 0.4225 0.7255  4 Pm 3.47-3.85, 5 Pr 3.66-3.89, 1 Y 3.86
14 Pr 0.9203 0.9203 0.9203  1 Pr 3.01, 3 Pm 3.13
15 Y 0.5000 0.5000 0.5000  6 Pm 3.51, 6 Pr 3.86

Output
**Theoretical density**: 6.52 g cm⁻³
**ΔH_f (0 K)**: 217 kJ/mol of formula units



No. 4
First-principles (PBE) data for crystalline KTl2Pb3 at its relaxed geometry, as listed in Alexandria.

a = 8.0917 Å, b = 8.0917 Å, c = 11.4336 Å
α = 114.28°, β = 114.28°, γ = 36.43°
Last column: nearest neighbours and their distance in Å.
Element x y z (fractional)
1 K 0.1310 0.1310 0.1223  7 Tl 3.61-3.78, 4 Pb 3.73-3.76, 1 K 3.78
2 K 0.8690 0.8690 0.8777  7 Tl 3.61-3.78, 4 Pb 3.73-3.76, 1 K 3.78
3 Tl 0.1935 0.1935 0.8511  2 Tl 3.44, 4 Pb 3.44-3.62, 3 K 3.61-3.62
4 Tl 0.4570 0.4570 0.1466  4 Pb 3.38-3.72, 2 Tl 3.44, 4 K 3.75-3.78
5 Tl 0.5430 0.5430 0.8534  4 Pb 3.38-3.72, 2 Tl 3.44, 4 K 3.75-3.78
6 Tl 0.8065 0.8065 0.1489  2 Tl 3.44, 4 Pb 3.44-3.62, 3 K 3.61-3.62
7 Pb 0.0421 0.0421 0.3811  3 Tl 3.44-3.50, 8 Pb 3.48-3.62, 1 K 3.76
8 Pb 0.2860 0.2860 0.6086  8 Pb 3.38-3.64, 2 Tl 3.62-3.72, 2 K 3.75
9 Pb 0.3824 0.3824 0.3846  3 Tl 3.38-3.51, 8 Pb 3.43-3.64, 1 K 3.73
10 Pb 0.6176 0.6176 0.6154  3 Tl 3.38-3.51, 8 Pb 3.43-3.64, 1 K 3.73
11 Pb 0.7140 0.7140 0.3914  8 Pb 3.38-3.64, 2 Tl 3.62-3.72, 2 K 3.75
12 Pb 0.9579 0.9579 0.6189  3 Tl 3.44-3.50, 8 Pb 3.48-3.62, 1 K 3.76

Output
**Theoretical density**: 8.86 g cm⁻³
**ΔH_f (0 K)**: -39 kJ/mol of formula units



No. 5
First-principles (PBE) data for crystalline Co2P at its relaxed geometry, as listed in Alexandria.

a = 4.7773 Å, b = 4.7773 Å, c = 4.7773 Å
α = 147.19°, β = 147.19°, γ = 47.08°
Last column: nearest neighbours and their distance in Å.
Element x y z (fractional)
1 Co 0.1436 0.1436 0.0000  4 P 2.29, 1 Co 2.52
2 Co 0.8564 0.8564 0.0000  4 P 2.29, 1 Co 2.52
3 P 0.5000 0.5000 0.0000  8 Co 2.29

Output
**Theoretical density**: 7.75 g cm⁻³
**ΔH_f (0 K)**: -55 kJ/mol of formula units



No. 6
First-principles (PBE) data for crystalline Na3LiAg8 at its relaxed geometry, as listed in Alexandria.

a = 9.8136 Å, b = 9.8136 Å, c = 9.8136 Å
α = 33.20°, β = 33.20°, γ = 33.20°
Last column: nearest neighbours and their distance in Å.
Element x y z (fractional)
1 Na 0.0000 0.0000 0.0000  12 Ag 3.29-3.35, 4 Na 3.46-3.50
2 Na 0.1258 0.1258 0.1258  12 Ag 3.27-3.30, 3 Li 3.43, 1 Na 3.50
3 Na 0.6233 0.6233 0.6233  12 Ag 3.29-3.38, 1 Li 3.44, 3 Na 3.46
4 Li 0.4995 0.4995 0.4995  12 Ag 3.29, 4 Na 3.43-3.44
5 Ag 0.0617 0.0617 0.5605  6 Ag 2.80-2.84
6 Ag 0.0617 0.5605 0.0617  6 Ag 2.80-2.84
7 Ag 0.0643 0.5625 0.5625  6 Ag 2.79-2.84
8 Ag 0.3122 0.3122 0.3122  6 Ag 2.84
9 Ag 0.5605 0.0617 0.0617  6 Ag 2.80-2.84
10 Ag 0.5625 0.0643 0.5625  6 Ag 2.79-2.84
11 Ag 0.5625 0.5625 0.0643  6 Ag 2.79-2.84
12 Ag 0.8123 0.8123 0.8123  6 Ag 2.80-2.81

Output
**Theoretical density**: 6.18 g cm⁻³
**ΔH_f (0 K)**: -101 kJ/mol of formula units



No. 7
First-principles (PBE) data for crystalline LiZrNp2As4 at its relaxed geometry, as listed in Alexandria.

a = 6.7162 Å, b = 4.0006 Å, c = 7.0692 Å
α = 90.00°, β = 109.54°, γ = 90.00°
Last column: nearest neighbours and their distance in Å.
Element x y z (fractional)
1 Li 0.0000 0.0000 0.0000  6 As 2.78-2.80
2 Zr 0.0000 0.5000 0.5000  6 As 2.77
3 Np 0.5000 0.0000 0.5000  6 As 2.84-2.86
4 Np 0.5000 0.5000 0.0000  6 As 2.87
5 As 0.2374 0.0000 0.7451  2 Zr 2.77, 1 Li 2.78, 3 Np 2.86-2.87
6 As 0.2417 0.5000 0.2508  1 Zr 2.77, 2 Li 2.80, 3 Np 2.84-2.87
7 As 0.7583 0.5000 0.7492  1 Zr 2.77, 2 Li 2.80, 3 Np 2.84-2.87
8 As 0.7626 0.0000 0.2549  2 Zr 2.77, 1 Li 2.78, 3 Np 2.86-2.87

Output
**Theoretical density**: 8.09 g cm⁻³
**ΔH_f (0 K)**: -542 kJ/mol of formula units



No. 8
First-principles (PBE) data for crystalline Tb4Dy3Sc2 at its relaxed geometry, as listed in Alexandria.

a = 9.8874 Å, b = 9.8874 Å, c = 5.9301 Å
α = 95.71°, β = 95.71°, γ = 69.99°
Last column: nearest neighbours and their distance in Å.
Element x y z (fractional)
1 Tb 0.0500 0.8199 0.9540  3 Tb 3.36-3.45, 4 Dy 3.36-3.48, 1 Sc 3.44
2 Tb 0.1724 0.3868 0.1054  2 Sc 3.19-3.29, 4 Dy 3.35-3.53, 2 Tb 3.45-3.56
3 Tb 0.1801 0.9500 0.5460  3 Tb 3.36-3.45, 4 Dy 3.36-3.48, 1 Sc 3.44
4 Tb 0.3868 0.1724 0.6054  2 Sc 3.19-3.29, 4 Dy 3.35-3.53, 2 Tb 3.45-3.56
5 Tb 0.6132 0.8276 0.3946  2 Sc 3.19-3.29, 4 Dy 3.35-3.53, 2 Tb 3.45-3.56
6 Tb 0.8199 0.0500 0.4540  3 Tb 3.36-3.45, 4 Dy 3.36-3.48, 1 Sc 3.44
7 Tb 0.8276 0.6132 0.8946  2 Sc 3.19-3.29, 4 Dy 3.35-3.53, 2 Tb 3.45-3.56
8 Tb 0.9500 0.1801 0.0460  3 Tb 3.36-3.45, 4 Dy 3.36-3.48, 1 Sc 3.44
9 Dy 0.0174 0.3232 0.5786  1 Sc 3.25, 7 Tb 3.35-3.53, 1 Dy 3.60
10 Dy 0.3232 0.0174 0.0786  1 Sc 3.25, 7 Tb 3.35-3.53, 1 Dy 3.60
11 Dy 0.3576 0.6424 0.2500  6 Sc 3.29-3.47, 4 Tb 3.36-3.59
12 Dy 0.6424 0.3576 0.7500  6 Sc 3.29-3.47, 4 Tb 3.36-3.59
13 Dy 0.6768 0.9826 0.9214  1 Sc 3.25, 7 Tb 3.35-3.53, 1 Dy 3.60
14 Dy 0.9826 0.6768 0.4214  1 Sc 3.25, 7 Tb 3.35-3.53, 1 Dy 3.60
15 Sc 0.2868 0.5149 0.6994  3 Tb 3.19-3.44, 1 Sc 3.20, 4 Dy 3.25-3.47
16 Sc 0.4851 0.7132 0.8006  3 Tb 3.19-3.44, 1 Sc 3.20, 4 Dy 3.25-3.47
17 Sc 0.5149 0.2868 0.1994  3 Tb 3.19-3.44, 1 Sc 3.20, 4 Dy 3.25-3.47
18 Sc 0.7132 0.4851 0.3006  3 Tb 3.19-3.44, 1 Sc 3.20, 4 Dy 3.25-3.47

Output
**Theoretical density**: 7.45 g cm⁻³
**ΔH_f (0 K)**: 91 kJ/mol of formula units



No. 9
First-principles (PBE) data for crystalline Rb2NdPuTe4 at its relaxed geometry, as listed in Alexandria.

a = 8.0353 Å, b = 4.6372 Å, c = 8.9434 Å
α = 90.00°, β = 107.47°, γ = 90.00°
Last column: nearest neighbours and their distance in Å.
Element x y z (fractional)
1 Rb 0.0000 0.0000 0.0000  6 Te 3.69-3.71
2 Rb 0.5000 0.5000 0.0000  6 Te 3.67-3.68
3 Nd 0.0000 0.5000 0.5000  6 Te 3.20
4 Pu 0.5000 0.0000 0.5000  6 Te 3.16-3.18
5 Te 0.2370 0.0000 0.7042  1 Pu 3.18, 2 Nd 3.20
6 Te 0.2703 0.5000 0.2998  2 Pu 3.16, 1 Nd 3.20
7 Te 0.7297 0.5000 0.7002  2 Pu 3.16, 1 Nd 3.20
8 Te 0.7630 0.0000 0.2958  1 Pu 3.18, 2 Nd 3.20

Output
**Theoretical density**: 5.59 g cm⁻³
**E_form (uncorrected)**: -962 kJ/mol of formula units



No. 10
First-principles (PBE) data for crystalline Ti2ZnHRu at its relaxed geometry, as listed in Alexandria.

a = 4.0831 Å, b = 4.0831 Å, c = 3.6978 Å
α = 90.00°, β = 90.00°, γ = 90.00°
Last column: nearest neighbours and their distance in Å.
Element x y z (fractional)
1 Ti 0.0000 0.5000 0.0000  2 H 2.04
2 Ti 0.5000 0.0000 0.0000  2 H 2.04
3 Zn 0.0000 0.0000 0.5000  2 H 1.85
4 H 0.0000 0.0000 0.0000  2 Zn 1.85, 4 Ti 2.04
5 Ru 0.5000 0.5000 0.5000  8 Ti 2.75, 4 Zn 2.89

Output
**Theoretical density**: 7.09 g cm⁻³
**VASP energy**: -6.20 eV/atom



No. 11
First-principles (PBE) data for crystalline MnOsAu2 at its relaxed geometry, as listed in Alexandria.

a = 2.8596 Å, b = 3.6305 Å, c = 6.1462 Å
α = 90.00°, β = 90.13°, γ = 90.00°
Last column: nearest neighbours and their distance in Å.
Element x y z (fractional)
1 Mn 0.0000 0.0000 0.0000  4 Os 2.57-2.58, 5 Au 2.80-2.83, 2 Mn 2.86
2 Os 0.5002 0.5000 0.8152  4 Mn 2.57-2.58, 5 Au 2.77-2.85, 2 Os 2.86
3 Au 0.4992 0.5000 0.2657  1 Os 2.77, 4 Mn 2.83, 6 Au 2.86-2.88
4 Au 0.9994 0.0000 0.5445  1 Mn 2.80, 4 Os 2.85, 6 Au 2.86-2.88

Output
**Theoretical density**: 16.63 g cm⁻³
**ΔH_f (0 K)**: 110 kJ/mol of formula units



No. 12
First-principles (PBE) data for crystalline Th3Co7Si2 at its relaxed geometry, as listed in Alexandria.

a = 13.0640 Å, b = 13.0640 Å, c = 3.9013 Å
α = 90.00°, β = 90.00°, γ = 162.62°
Last column: nearest neighbours and their distance in Å.
Element x y z (fractional)
1 Th 0.0000 0.0000 0.0000  4 Co 2.78
2 Th 0.1966 0.8034 0.0000  8 Co 2.70-2.78
3 Th 0.8034 0.1966 0.0000  8 Co 2.70-2.78
4 Co 0.1238 0.8762 0.5000  2 Si 2.22
5 Co 0.2992 0.7008 0.5000  4 Co 2.76-2.80, 4 Th 2.78, 1 Si 3.01
6 Co 0.3748 0.6252 0.0000  2 Si 2.22
7 Co 0.5000 0.5000 0.5000  2 Si 2.18
8 Co 0.6252 0.3748 0.0000  2 Si 2.22
9 Co 0.7008 0.2992 0.5000  4 Co 2.76-2.80, 4 Th 2.78, 1 Si 3.01
10 Co 0.8762 0.1238 0.5000  2 Si 2.22
11 Si 0.4157 0.5843 0.5000  5 Co 2.18-2.22
12 Si 0.5843 0.4157 0.5000  5 Co 2.18-2.22

Output
**Theoretical density**: 9.72 g cm⁻³
**E_form (uncorrected)**: -247 kJ/mol of formula units



Asked for total moment across the records above, the calculation gives 0.00; 0.00; 0.00; 0.00; 0.75; 0.00; 0.21; 0.00; 5.00; 0.00; 2.46; 0.00 μB per formula unit in order.